This record from Alexandria describes crystalline CaMg14NiO16 at its relaxed geometry. The functional is PBE+U.

Lattice parameters (Å, degrees): 8.5839 8.5839 4.3174 90.00 90.00 90.00
Last column: nearest neighbours and their distance in Å.
Element x y z (fractional)
Ca1 0.0000 0.0000 0.0000  6 O 2.16-2.26
Mg1 0.0000 0.2558 0.5000  6 O 2.10-2.20
Mg2 0.0000 0.5000 0.0000  6 O 2.03-2.16
Mg3 0.0000 0.7442 0.5000  6 O 2.10-2.20
Mg4 0.2518 0.5000 0.5000  6 O 2.13-2.16
Mg5 0.2541 0.2541 0.0000  6 O 2.11-2.18
Mg6 0.2541 0.7459 0.0000  6 O 2.11-2.18
Mg7 0.2558 0.0000 0.5000  6 O 2.10-2.20
Mg8 0.5000 0.0000 0.0000  6 O 2.03-2.16
Mg9 0.5000 0.2518 0.5000  6 O 2.13-2.16
Mg10 0.5000 0.7482 0.5000  6 O 2.13-2.16
Mg11 0.7442 0.0000 0.5000  6 O 2.10-2.20
Mg12 0.7459 0.2541 0.0000  6 O 2.11-2.18
Mg13 0.7459 0.7459 0.0000  6 O 2.11-2.18
Mg14 0.7482 0.5000 0.5000  6 O 2.13-2.16
Ni1 0.5000 0.5000 0.0000  6 O 2.13-2.16
O1 0.0000 0.0000 0.5000  2 Ca 2.16, 4 Mg 2.20
O2 0.0000 0.2638 0.0000  5 Mg 2.03-2.18, 1 Ca 2.26
O3 0.0000 0.5000 0.5000  6 Mg 2.10-2.16
O4 0.0000 0.7362 0.0000  5 Mg 2.03-2.18, 1 Ca 2.26
O5 0.2505 0.2505 0.5000  6 Mg 2.14-2.16
O6 0.2505 0.7495 0.5000  6 Mg 2.14-2.16
O7 0.2522 0.5000 0.0000  5 Mg 2.11-2.16, 1 Ni 2.13
O8 0.2638 0.0000 0.0000  5 Mg 2.03-2.18, 1 Ca 2.26
O9 0.5000 0.0000 0.5000  6 Mg 2.10-2.16
O10 0.5000 0.2522 0.0000  5 Mg 2.11-2.16, 1 Ni 2.13
O11 0.5000 0.5000 0.5000  4 Mg 2.13, 2 Ni 2.16
O12 0.5000 0.7478 0.0000  5 Mg 2.11-2.16, 1 Ni 2.13
O13 0.7362 0.0000 0.0000  5 Mg 2.03-2.18, 1 Ca 2.26
O14 0.7478 0.5000 0.0000  5 Mg 2.11-2.16, 1 Ni 2.13
O15 0.7495 0.2505 0.5000  6 Mg 2.14-2.16
O16 0.7495 0.7495 0.5000  6 Mg 2.14-2.16

Properties
The spin magnetization comes out at 1.99 Bohr magnetons per cell. The energy is -5.91 eV per atom. Its crystal system is tetragonal.